Here is an optimized crystal structure of PaV3O7 from Alexandria via LeMat-Bulk. Energies are from GGA+U.

Summary:
total DFT energy (no corrections) = -186.221 eV for the cell shown

Cell lengths 6.041, 6.288, 7.330 Å; angles 91.62, 87.89, 109.18 degrees
Site moments in Bohr magnetons follow the coordinates.
Positions (direct):
Pa 0.000 0.043 0.531  0.12
Pa 0.002 0.969 0.028  0.14
V 0.484 0.501 0.551  1.92
V 0.530 0.499 0.997  1.91
V 0.516 0.070 0.279  1.99
V 0.495 0.952 0.799  2.65
V 0.004 0.508 0.770  1.88
V 0.000 0.500 0.266  1.15
O 0.630 0.854 0.532  -0.02
O 0.394 0.136 0.028  -0.04
O 0.116 0.846 0.295  -0.01
O 0.945 0.180 0.813  0.00
O 0.114 0.434 0.509  -0.01
O 0.895 0.587 0.026  -0.01
O 0.372 0.150 0.515  -0.03
O 0.628 0.849 0.043  -0.03
O 0.251 0.478 0.154  -0.12
O 0.666 0.429 0.741  -0.06
O 0.662 0.433 0.319  -0.07
O 0.350 0.592 0.799  -0.05
O 0.871 0.149 0.262  -0.02
O 0.075 0.841 0.743  0.00